{
  "formula": "Cr2HgS4",
  "functional": "GGA-PBE",
  "state": "relaxed",
  "cell": [[11.6718, 0.0000, 0.0000], [0.0000, 7.5123, 0.0000], [0.0000, 0.0000, 11.9562]],
  "species": ["Cr", "Cr", "Cr", "Cr", "Cr", "Cr", "Cr", "Cr", "Cr", "Cr", "Cr", "Cr", "Cr", "Cr", "Cr", "Cr", "Hg", "Hg", "Hg", "Hg", "Hg", "Hg", "Hg", "Hg", "S", "S", "S", "S", "S", "S", "S", "S", "S", "S", "S", "S", "S", "S", "S", "S", "S", "S", "S", "S", "S", "S", "S", "S", "S", "S", "S", "S", "S", "S", "S", "S"],
  "frac_coords": [[0.1169, 0.8575, 0.7019], [0.8831, 0.1425, 0.2019], [0.3831, 0.8575, 0.2019], [0.6169, 0.1425, 0.7019], [0.1327, 0.3476, 0.3183], [0.8673, 0.6524, 0.8183], [0.3673, 0.3476, 0.8183], [0.6327, 0.6524, 0.3183], [0.1520, 0.6043, 0.9438], [0.8480, 0.3957, 0.4438], [0.3480, 0.6043, 0.4438], [0.6520, 0.3957, 0.9438], [0.1463, 0.1023, 0.0071], [0.8537, 0.8977, 0.5071], [0.3537, 0.1023, 0.5071], [0.6463, 0.8977, 0.0071], [0.0739, 0.3769, 0.6512], [0.9261, 0.6231, 0.1512], [0.4261, 0.3769, 0.1512], [0.5739, 0.6231, 0.6512], [0.1180, 0.8745, 0.3439], [0.8820, 0.1255, 0.8439], [0.3820, 0.8745, 0.8439], [0.6180, 0.1255, 0.3439], [0.0257, 0.8319, 0.8807], [0.9743, 0.1681, 0.3807], [0.4743, 0.8319, 0.3807], [0.5257, 0.1681, 0.8807], [0.0439, 0.3147, 0.1360], [0.9561, 0.6853, 0.6360], [0.4561, 0.3147, 0.6360], [0.5439, 0.6853, 0.1360], [0.0032, 0.4296, 0.8668], [0.9968, 0.5704, 0.3668], [0.4968, 0.4296, 0.3668], [0.5032, 0.5704, 0.8668], [0.0211, 0.9359, 0.1415], [0.9789, 0.0641, 0.6415], [0.4789, 0.9359, 0.6415], [0.5211, 0.0641, 0.1415], [0.2337, 0.8448, 0.5338], [0.7663, 0.1552, 0.0338], [0.2663, 0.8448, 0.0338], [0.7337, 0.1552, 0.5338], [0.2288, 0.3589, 0.4957], [0.7712, 0.6411, 0.9957], [0.2712, 0.3589, 0.9957], [0.7288, 0.6411, 0.4957], [0.2131, 0.1104, 0.8066], [0.7869, 0.8896, 0.3066], [0.2869, 0.1104, 0.3066], [0.7131, 0.8896, 0.8066], [0.2376, 0.6044, 0.7698], [0.7624, 0.3956, 0.2698], [0.2624, 0.6044, 0.2698], [0.7376, 0.3956, 0.7698]],
  "de_polymorph_kj_per_mol_fu": 167,
  "dos_at_fermi_per_ev_atom": 0.212,
  "e_form_raw_ev_per_atom": -0.316,
  "spacegroup": "No. 29"
}